ScGaF3: optimized geometry, GGA-PBE.

a = 4.3111 Å, b = 4.3111 Å, c = 4.3111 Å
α = 90.00°, β = 90.00°, γ = 90.00°
With the nearest neighbours (Å) after each atom.
Atoms (fractional coordinates):
1 Sc 0.5000 0.5000 0.5000  12 F 3.05
2 Ga 0.0000 0.0000 0.0000  6 F 2.16
3 F 0.0000 0.5000 0.0000  2 Ga 2.16
4 F 0.0000 0.0000 0.5000  2 Ga 2.16
5 F 0.5000 0.0000 0.0000  2 Ga 2.16

The calculation puts the spin magnetization at 1.36 μB per cell. The calculation puts the density at 3.6 g cm⁻³. As for the symmetry: Pm-3m. The density of states at the Fermi level is 4.0 states/eV/cell. Its formation energy (no corrections) is -1.700 eV per atom.


CaCo3Pd: optimized geometry, GGA-PBE.

a = 4.6563 Å, b = 4.6563 Å, c = 4.6563 Å
α = 90.00°, β = 90.00°, γ = 90.00°
With the nearest neighbours (Å) after each atom.
Atoms (fractional coordinates):
1 Ca 0.5000 0.5000 0.5000  12 Co 3.29
2 Co 0.0000 0.5000 0.0000  2 Pd 2.33
3 Co 0.0000 0.0000 0.5000  2 Pd 2.33
4 Co 0.5000 0.0000 0.0000  2 Pd 2.33
5 Pd 0.0000 0.0000 0.0000  6 Co 2.33

The calculation puts the spin magnetization at 5.99 μB per cell. The calculation puts the density at 5.3 g cm⁻³. The calculation puts the formation energy at 0.8139 eV per atom. As for the symmetry: Pm-3m. The density of states at the Fermi level is 5.9 states/eV/cell.